1.
This record from Alexandria describes a geometry-optimized Ti2GaAu structure. The functional is GGA-PBE.

a = 2.9268 Å, b = 4.8872 Å, c = 4.8872 Å
α = 70.21°, β = 90.00°, γ = 90.00°
Closest atoms and distances in Å follow each position.
Sites, in units of the cell vectors:
Ga (0.5000, 0.0000, 0.5000)  2 Au 2.81, 8 Ti 2.85, 2 Ga 2.93
Ti (0.0000, 0.0000, 0.0000)  4 Ti 2.81-2.93, 4 Au 2.85, 4 Ga 2.85
Ti (0.0000, 0.5000, 0.5000)  4 Ti 2.81-2.93, 4 Ga 2.85, 4 Au 2.85
Au (0.5000, 0.5000, 0.0000)  2 Ga 2.81, 8 Ti 2.85, 2 Au 2.93

## Properties
**E_tot**: -5.95 eV/atom
**Calculated volume**: 65.8 Å³/cell
**Formation enthalpy at 0 K**: -0.43 eV per atom

---

2.
This record from Alexandria describes a geometry-optimized CuTc2Os structure. The functional is GGA-PBE.

a = 4.5261 Å, b = 4.5261 Å, c = 2.7752 Å
α = 90.00°, β = 90.00°, γ = 90.00°
Closest atoms and distances in Å follow each position.
Sites, in units of the cell vectors:
Tc (0.0000, 0.0000, 0.0000)  4 Os 2.65, 4 Cu 2.65, 2 Tc 2.78
Tc (0.5000, 0.5000, 0.0000)  4 Os 2.65, 4 Cu 2.65, 2 Tc 2.78
Cu (0.5000, 0.0000, 0.5000)  8 Tc 2.65, 2 Cu 2.78
Os (0.0000, 0.5000, 0.5000)  8 Tc 2.65, 2 Os 2.78

## Properties
**E_tot**: -8.61 eV/atom
**Calculated volume**: 56.9 Å³/cell
**Formation enthalpy at 0 K**: 0.41 eV per atom
**Offset from the most stable computed form**: 0.249 eV/atom

---

3.
This record from Alexandria describes a geometry-optimized FeNiMo structure. The functional is GGA-PBE.

a = 4.5428 Å, b = 7.8361 Å, c = 4.4764 Å
α = 90.00°, β = 109.48°, γ = 90.00°
Closest atoms and distances in Å follow each position.
Sites, in units of the cell vectors:
Mo (0.0000, 0.8453, 0.5000)  6 Ni 2.55-2.70, 4 Fe 2.56-2.61, 2 Mo 2.76
Mo (0.5000, 0.6462, 0.5000)  6 Fe 2.53-2.73, 4 Ni 2.54-2.61, 2 Mo 2.76
Mo (0.0000, 0.3453, 0.0000)  6 Ni 2.55-2.70, 4 Fe 2.56-2.61, 2 Mo 2.76
Mo (0.5000, 0.1462, 0.0000)  6 Fe 2.53-2.73, 4 Ni 2.54-2.61, 2 Mo 2.76
Ni (0.0000, 0.6727, 0.0000)  4 Fe 2.55-2.66, 5 Mo 2.57-2.62, 3 Ni 2.57-2.61
Ni (0.0000, 0.5010, 0.5000)  5 Mo 2.54-2.70, 3 Ni 2.57-2.61, 4 Fe 2.60-2.68
Ni (0.0000, 0.1727, 0.5000)  4 Fe 2.55-2.66, 5 Mo 2.57-2.62, 3 Ni 2.57-2.61
Ni (0.0000, 0.0010, 0.0000)  5 Mo 2.54-2.70, 3 Ni 2.57-2.61, 4 Fe 2.60-2.68
Fe (0.5000, 0.8201, 0.0000)  3 Fe 2.55-2.62, 4 Ni 2.55-2.68, 5 Mo 2.56-2.62
Fe (0.5000, 0.9949, 0.5000)  5 Mo 2.53-2.73, 3 Fe 2.55-2.62, 4 Ni 2.60-2.66
Fe (0.5000, 0.4949, 0.0000)  5 Mo 2.53-2.73, 3 Fe 2.55-2.62, 4 Ni 2.60-2.66
Fe (0.5000, 0.3201, 0.5000)  3 Fe 2.55-2.62, 4 Ni 2.55-2.68, 5 Mo 2.56-2.62

## Properties
**E_tot**: -8.30 eV/atom
**Calculated volume**: 150.2 Å³/cell
**Formation enthalpy at 0 K**: 0.06 eV per atom
**Offset from the most stable computed form**: 0.036 eV/atom

---

4.
This record from Alexandria describes a geometry-optimized NaSrReBi2 structure. The functional is GGA-PBE.

a = 5.3786 Å, b = 5.5086 Å, c = 5.3786 Å
α = 90.00°, β = 90.00°, γ = 90.00°
Closest atoms and distances in Å follow each position.
Sites, in units of the cell vectors:
Sr (0.5000, 0.5000, 0.5000)  4 Na 3.80, 8 Bi 3.85
Bi (0.0000, 0.0000, 0.5000)  2 Re 2.69
Bi (0.5000, 0.0000, 0.0000)  2 Re 2.69
Re (0.0000, 0.0000, 0.0000)  4 Bi 2.69, 2 Na 2.75
Na (0.0000, 0.5000, 0.0000)  2 Re 2.75

## Properties
**E_tot**: -4.27 eV/atom
**Calculated volume**: 159.4 Å³/cell
**Formation enthalpy at 0 K**: 0.37 eV per atom